--- 1 ---
This record from Alexandria via LeMat-Bulk describes a relaxed structure of SiBSe2Br. The functional is GGA-PBE.

Results
- Density: 3.81 g cm⁻³

Structure (CIF):
```
data_SiBSe2Br
_symmetry_space_group_name_H-M 'P 1'
_symmetry_Int_Tables_number 1
_symmetry_space_group_name_Hall 'P 1'
_cell_length_a 4.8095
_cell_length_b 4.8095
_cell_length_c 5.2157
_cell_angle_alpha 90.00
_cell_angle_beta 90.00
_cell_angle_gamma 90.00
loop_
_atom_site_label
_atom_site_type_symbol
_atom_site_fract_x
_atom_site_fract_y
_atom_site_fract_z
Si1 Si 0.0000 0.0000 0.0000
B1 B 0.5000 0.5000 0.5000
Se1 Se 0.0000 0.5000 0.0000
Se2 Se 0.5000 0.0000 0.0000
Br1 Br 0.0000 0.0000 0.5000
```


--- 2 ---
This record from Alexandria via LeMat-Bulk describes a relaxed structure of SiBSe2Br. The functional is GGA-PBE.

Results
- Density: 4.84 g cm⁻³

Structure (CIF):
```
data_SiBSe2Br
_symmetry_space_group_name_H-M 'P 1'
_symmetry_Int_Tables_number 1
_symmetry_space_group_name_Hall 'P 1'
_cell_length_a 4.5266
_cell_length_b 4.5266
_cell_length_c 4.6296
_cell_angle_alpha 90.00
_cell_angle_beta 90.00
_cell_angle_gamma 90.00
loop_
_atom_site_label
_atom_site_type_symbol
_atom_site_fract_x
_atom_site_fract_y
_atom_site_fract_z
Si1 Si 0.0000 0.0000 0.0000
B1 B 0.5000 0.5000 0.5000
Se1 Se 0.0000 0.5000 0.5000
Se2 Se 0.5000 0.0000 0.5000
Br1 Br 0.5000 0.5000 0.0000
```


Bottom line: 2, by a margin of 0.266 eV/atom.